Record 1
Material: Ta2FeF
Method: DFT, GGA+U
State: relaxed

```
4
Lattice="0.0000 3.0927 3.0927 3.0927 0.0000 3.0927 3.0927 3.0927 0.0000" Properties=species:S:1:pos:R:3 pbc="T T T"
Ta 4.6391 4.6391 4.6391
F 0.0000 0.0000 0.0000
Fe 3.0927 3.0927 3.0927
Ta 1.5464 1.5464 1.5464
```

Calculated values
Final energy ... -0.2735 hartree per atom
Symmetry ... Fm-3m (225)
ΔE to the lowest computed polymorph ... 0.0000 eV/atom

Record 2
Material: Ta2FeF
Method: DFT, GGA+U
State: relaxed

```
8
Lattice="-2.6739 -2.3643 -2.8588 3.6215 -2.4278 -1.3794 -0.6316 -6.6148 2.4039" Properties=species:S:1:pos:R:3 pbc="T T T"
Ta -1.3136 -3.3793 -1.2910
Ta -0.0332 -6.8152 0.1812
Ta 1.7084 -3.5222 -0.6857
F 1.7318 -5.7194 -0.5473
F 0.4738 -2.3961 -2.1191
Ta 0.2703 -9.0972 -1.8730
Fe 0.0000 0.0000 0.0000
Fe -1.4159 -5.6876 -1.2870
```

Calculated values
Final energy ... -0.2509 hartree per atom
Symmetry ... I-42d (122)
ΔE to the lowest computed polymorph ... 0.6154 eV/atom

Record 3
Material: TaFeF2
Method: DFT, GGA+U
State: relaxed

```
4
Lattice="0.2124 -8.7568 0.6646 2.5497 -8.1381 2.1067 0.0481 -8.1008 3.3974" Properties=species:S:1:pos:R:3 pbc="T T T"
Ta 1.4051 -12.4979 3.0844
F 2.5140 -22.3610 5.5185
Fe 0.0000 0.0000 0.0000
F 0.2962 -2.6347 0.6502
```

Calculated values
Final energy ... -0.2300 hartree per atom
Symmetry ... R-3m (166)
ΔE to the lowest computed polymorph ... 0.0637 eV/atom

Record 4
Material: TaFeF2
Method: DFT, GGA+U
State: relaxed

```
4
Lattice="1.6513 0.0000 7.5473 -0.8257 1.4301 7.5473 -0.8257 -1.4301 7.5473" Properties=species:S:1:pos:R:3 pbc="T T T"
Ta 0.0000 0.0000 0.0000
F 0.0000 0.0000 20.5260
Fe 0.0000 0.0000 11.3209
F 0.0000 0.0000 2.1158
```

Calculated values
Final energy ... -0.2324 hartree per atom
Symmetry ... R-3m (166)
ΔE to the lowest computed polymorph ... 0.0000 eV/atom

Record 5
Material: TaFeF2
Method: DFT, GGA+U
State: relaxed

```
8
Lattice="-2.0188 3.6103 3.0311 -4.6911 -1.2137 -1.6788 -3.7756 -1.9112 4.0997" Properties=species:S:1:pos:R:3 pbc="T T T"
Fe -3.3549 1.1983 0.6762
F -4.2009 -0.6550 0.4638
Ta 0.0000 0.0000 0.0000
Ta -4.5747 1.4487 3.9035
F -2.7193 1.4968 2.6003
F -5.5170 -0.5785 3.5214
Fe -5.9108 -0.9633 1.5485
F -8.5338 0.7073 4.3185
```

Calculated values
Final energy ... -0.2112 hartree per atom
Symmetry ... I-42d (122)
ΔE to the lowest computed polymorph ... 0.5764 eV/atom

Record 6
Material: TaFeF3
Method: DFT, GGA+U
State: relaxed

```
5
Lattice="4.0054 0.0000 0.0000 0.0000 4.0054 0.0000 0.0000 0.0000 4.0054" Properties=species:S:1:pos:R:3 pbc="T T T"
Fe 0.0000 0.0000 0.0000
F 0.0000 2.0027 0.0000
F 2.0027 0.0000 0.0000
Ta 2.0027 2.0027 2.0027
F 0.0000 0.0000 2.0027
```

Calculated values
Final energy ... -0.1700 hartree per atom
Symmetry ... Pm-3m (221)
ΔE to the lowest computed polymorph ... 0.9127 eV/atom

Record 7
Material: TaFeF2
Method: DFT, GGA+U
State: relaxed

```
4
Lattice="0.0000 2.9506 2.9506 2.9506 0.0000 2.9506 2.9506 2.9506 0.0000" Properties=species:S:1:pos:R:3 pbc="T T T"
Fe 0.0000 0.0000 0.0000
F 1.4753 1.4753 1.4753
F 4.4258 4.4258 4.4258
Ta 2.9506 2.9506 2.9506
```

Calculated values
Final energy ... -0.2031 hartree per atom
Symmetry ... Fm-3m (225)
ΔE to the lowest computed polymorph ... 0.7970 eV/atom

Record 8
Material: TaFeF3
Method: DFT, GGA+U
State: relaxed

```
5
Lattice="-3.6849 1.8873 -0.8556 -2.0660 -3.2112 1.8145 0.1601 1.9997 3.7213" Properties=species:S:1:pos:R:3 pbc="T T T"
F 0.0801 0.9999 1.8607
F -1.8425 0.9436 -0.4278
Fe -2.7954 0.3379 2.3401
F -1.0330 -1.6056 0.9073
Ta 0.0000 0.0000 0.0000
```

Calculated values
Final energy ... -0.2035 hartree per atom
Symmetry ... Pm-3m (221)
ΔE to the lowest computed polymorph ... 0.0000 eV/atom

Record 9
Material: YTa2FeF
Method: DFT, GGA+U
State: relaxed

```
5
Lattice="5.0708 0.0000 0.0000 0.0000 5.0150 0.0000 0.0000 0.0000 5.0708" Properties=species:S:1:pos:R:3 pbc="T T T"
Ta 0.0000 0.0000 2.5354
F 2.5354 2.5075 2.5354
Fe 0.0000 2.5075 0.0000
Ta 2.5354 0.0000 0.0000
Y 0.0000 0.0000 0.0000
```

Calculated values
Final energy ... -0.1906 hartree per atom
Symmetry ... P4/mmm (123)

Record 10
Material: TbFeF6
Method: DFT, GGA+U
State: relaxed

```
8
Lattice="6.2708 1.7428 -1.0375 0.9770 3.9929 1.1900 -0.9526 -0.9544 4.0615" Properties=species:S:1:pos:R:3 pbc="T T T"
F 4.7788 2.8565 -0.0984
F 3.8161 0.6614 1.8189
Fe 0.0005 0.0630 0.1090
F 2.4701 3.0054 0.4689
Tb 3.1359 0.9345 -0.4098
F 1.5030 0.2531 1.4231
F -0.1270 0.5014 3.3608
F 6.4232 4.4061 1.0711
```

Calculated values
Final energy ... -0.2088 hartree per atom
Symmetry ... C2/m (12)

Record 11
Material: Fe2TcF
Method: DFT, GGA+U
State: relaxed

```
4
Lattice="3.7885 0.1995 2.1048 0.5921 -2.3096 3.6246 2.6738 -3.4166 -0.0174" Properties=species:S:1:pos:R:3 pbc="T T T"
Fe 1.7636 -1.3817 1.4280
Fe 5.2908 -4.1450 4.2840
F 0.0000 0.0000 0.0000
Tc 3.5272 -2.7633 2.8560
```

Calculated values
Final energy ... -0.1857 hartree per atom
Symmetry ... Fm-3m (225)
ΔE to the lowest computed polymorph ... 0.5076 eV/atom

Record 12
Material: FeTc2F11
Method: DFT, GGA+U
State: relaxed

```
28
Lattice="7.6489 0.0000 3.9869 3.4985 6.7711 2.6187 0.6779 0.0625 8.0301" Properties=species:S:1:pos:R:3 pbc="T T T"
F 7.9190 4.6716 9.1305
F 4.1742 2.6024 9.3546
Fe 2.9563 1.7084 3.6589
Tc 7.6854 4.4533 7.1787
F 6.7407 2.0966 9.1037
F 5.1196 0.7419 7.5408
F 9.2092 5.4509 6.9496
F 6.8115 5.5790 11.2553
F 1.3519 0.8770 5.4385
F 7.6511 4.2313 5.2810
F 10.4734 5.9567 9.1972
F 2.6162 1.3828 7.6861
F 3.9063 2.1621 5.5051
F 6.7058 6.0918 7.0948
F 1.7136 0.5586 2.3743
Tc 4.3998 5.7347 4.1516
Tc 4.1399 2.3804 7.4569
F 8.8404 2.8583 7.3628
F 8.0554 2.7375 11.2391
F 0.0000 0.0000 0.0000
Tc 7.4256 1.0990 10.4841
F 10.1117 6.2751 12.2614
F 5.9127 3.4168 7.3178
F 2.9849 3.9754 7.2728
F 3.7699 4.0962 3.3966
F 5.0138 1.2547 3.3803
Fe 8.8690 5.1253 10.9767
F 5.0846 4.7371 5.5319
```

Calculated values
Final energy ... -0.1990 hartree per atom
Symmetry ... Ibam (72)

| no. | volume (A^3/atom) |
| --- | --- |
| 1 | 14.79 |
| 2 | 16.42 |
| 3 | 14.81 |
| 4 | 13.37 |
| 5 | 15.27 |
| 6 | 12.85 |
| 7 | 12.84 |
| 8 | 15.11 |
| 9 | 25.79 |
| 10 | 12.12 |
| 11 | 14.44 |
| 12 | 14.19 |